Co3HRh: relaxed, PBE-GGA.

Output
Polymorph energy (0 for the lowest one) = 0.000 eV per atom

a b c (Å): 8.233 3.641 7.342
angles (deg): 90.00 116.62 90.00
Space group C2/m (No. 12)
Unique sites:
Co  0.125  0.000  0.185 [4 per cell]
Co  0.125  0.500  0.940 [4 per cell]
Co  0.129  0.000  0.692 [4 per cell]
H  0.125  0.000  0.938 [4 per cell]
Rh  0.123  0.500  0.435 [4 per cell]